No. 1
VASP calculation (PBE) on crystalline Cu2AsOs at its relaxed geometry.

```
Cu2AsOs
1.0
-1.131 1.390 -2.065
0.662 -2.622 -0.402
-7.962 -2.428 2.726
As Cu Os
1 2 1
Direct
0.500 0.500 0.750
0.000 0.000 0.002
0.000 0.000 0.498
0.500 0.500 0.250
```

Calculated values
Magnetic moment: 0.0 μB/cell

---

No. 2
VASP calculation (PBE) on crystalline Cu2AsOs at its relaxed geometry.

```
Cu2AsOs
1.0
3.147 0.000 0.000
0.000 3.147 0.000
0.000 0.000 5.514
As Cu Os
1 2 1
Direct
0.500 0.500 0.739
0.000 0.000 0.023
0.500 0.500 0.226
0.000 0.000 0.512
```

Calculated values
Magnetic moment: 0.0 μB/cell

---

No. 3
VASP calculation (PBE) on crystalline Cu2AsOs at its relaxed geometry.

```
Cu2AsOs
1.0
-1.058 -1.285 2.177
0.343 -1.427 -2.315
8.074 -2.262 2.590
As Cu Os
1 2 1
Direct
0.500 0.500 0.746
0.000 0.000 0.016
0.500 0.500 0.245
0.000 0.000 0.494
```

Calculated values
Magnetic moment: 0.0 μB/cell

---

No. 4
VASP calculation (PBE) on crystalline Cu2AsOs at its relaxed geometry.

```
Cu2AsOs
1.0
-1.057 1.564 3.967
-2.511 -0.976 -0.284
1.345 -4.040 1.952
As Cu Os
1 2 1
Direct
0.500 0.624 0.758
0.000 0.124 0.989
0.500 0.127 0.272
0.000 0.625 0.481
```

Calculated values
Magnetic moment: 0.0 μB/cell

---

No. 5
VASP calculation (PBE) on crystalline CuAs2Os at its relaxed geometry.

```
CuAs2Os
1.0
0.000 3.104 3.104
3.104 0.000 3.104
3.104 3.104 0.000
As Os Cu
2 1 1
Direct
0.250 0.250 0.250
0.750 0.750 0.750
0.500 0.500 0.500
0.000 0.000 0.000
```

Calculated values
Energy above the lowest structure with this stoichiometry: 162.5 meV per atom
Magnetic moment: 0.0 μB/cell

---

No. 6
VASP calculation (PBE) on crystalline CuAsOs2 at its relaxed geometry.

```
CuAsOs2
1.0
-1.731 -2.479 -0.221
2.486 -1.709 -0.303
0.245 -0.702 5.967
As Cu Os
1 1 2
Direct
0.500 0.500 0.250
0.500 0.500 0.750
0.000 0.000 0.002
0.000 0.000 0.498
```

Calculated values
Magnetic moment: 0.0 μB/cell

---

No. 7
VASP calculation (PBE) on crystalline Cu2AsOs at its relaxed geometry.

```
Cu2AsOs
1.0
-2.604 -3.956 -1.868
0.339 -4.544 -2.270
-0.276 -3.153 2.586
As Cu Os
1 2 1
Direct
0.250 0.250 0.250
0.988 0.988 0.012
0.512 0.512 0.488
0.750 0.750 0.750
```

Calculated values
Magnetic moment: 0.1 μB/cell

---

No. 8
VASP calculation (PBE) on crystalline CuAs2Os at its relaxed geometry.

```
CuAs2Os
1.0
-4.147 -1.085 1.101
-0.744 -3.367 2.774
-1.482 0.792 4.094
As Cu Os
2 1 1
Direct
0.000 0.000 0.000
0.250 0.250 0.250
0.500 0.500 0.500
0.750 0.750 0.750
```

Calculated values
Energy above the lowest structure with this stoichiometry: 522.6 meV per atom
Magnetic moment: 0.0 μB/cell

---

Number 1: energy of formation from the pure elements 0.438 eV per atom. Number 2: energy of formation from the pure elements 0.185 eV per atom. Number 3: energy of formation from the pure elements 0.466 eV per atom. Number 4: energy of formation from the pure elements 0.329 eV per atom. Number 5: energy of formation from the pure elements 0.339 eV per atom. Number 6: energy of formation from the pure elements 0.493 eV per atom. Number 7: energy of formation from the pure elements 0.341 eV per atom. Number 8: energy of formation from the pure elements 0.699 eV per atom.